# 1
# KTcPb3

Crystalline KTcPb3 at its relaxed geometry (PBE-GGA, the Alexandria database).

Output
Formation energy from the elements, kJ/mol of atoms: 25.53
Fermi-level density of states, states/eV/atom: 1.298
Energy relative to the lowest polymorph listed for this composition, meV/atom: 0
E, eV per cell: -21.3

Cell lengths 5.4323, 5.4323, 5.4323 Å; angles 90.00, 90.00, 90.00 degrees
Sites, in units of the cell vectors:
K  0.0000  0.0000  0.0000
Tc  0.5000  0.5000  0.5000
Pb  0.0000  0.5000  0.5000
Pb  0.5000  0.0000  0.5000
Pb  0.5000  0.5000  0.0000

=====

# 2
# Pm4GaAg3

Crystalline Pm4GaAg3 at its relaxed geometry (PBE-GGA, the Alexandria database).

Output
Formation energy from the elements, kJ/mol of atoms: -30.46
Fermi-level density of states, states/eV/atom: 1.062
Energy relative to the lowest polymorph listed for this composition, meV/atom: 30
E, eV per cell: -33.1

Cell lengths 3.7617, 4.7918, 11.6558 Å; angles 90.00, 90.00, 90.00 degrees
Sites, in units of the cell vectors:
Pm  0.0000  0.0000  0.0000
Pm  0.0000  0.5000  0.2922
Pm  0.5000  0.0000  0.4949
Pm  0.5000  0.5000  0.7900
Ga  0.5000  0.0000  0.2239
Ag  0.0000  0.0000  0.7206
Ag  0.0000  0.5000  0.5698
Ag  0.5000  0.5000  0.0705

=====

# 3
# ZrUCN

Crystalline ZrUCN at its relaxed geometry (PBE-GGA, the Alexandria database).

Output
Fermi-level density of states, states/eV/atom: 1.047
Energy relative to the lowest polymorph listed for this composition, meV/atom: 0
E, eV per cell: -41.5

Cell lengths 5.9392, 5.9392, 5.9392 Å; angles 32.90, 32.90, 32.90 degrees
Sites, in units of the cell vectors:
Zr  0.0000  0.0000  0.0000
U  0.4996  0.4996  0.4996
C  0.2515  0.2515  0.2515
N  0.7471  0.7471  0.7471

=====

# 4
# CoSiSe2

Crystalline CoSiSe2 at its relaxed geometry (PBE-GGA, the Alexandria database).

Output
Fermi-level density of states, states/eV/atom: 0.575
E, eV per cell: -19.2

Cell lengths 3.2163, 3.2163, 7.0692 Å; angles 90.00, 90.00, 90.00 degrees
Sites, in units of the cell vectors:
Co  0.0000  0.0000  0.0000
Si  0.5000  0.5000  0.8497
Se  0.0000  0.0000  0.6656
Se  0.5000  0.5000  0.1943

=====

# 5
# Sr2MgSe

Crystalline Sr2MgSe at its relaxed geometry (PBE-GGA, the Alexandria database).

Output
Fermi-level density of states, states/eV/atom: 0.420
Energy relative to the lowest polymorph listed for this composition, meV/atom: 301
E, eV per cell: -10.8

Cell lengths 6.0534, 6.0534, 6.0534 Å; angles 129.17, 129.17, 74.73 degrees
Sites, in units of the cell vectors:
Sr  0.2500  0.7500  0.5000
Sr  0.7500  0.2500  0.5000
Mg  0.0000  0.0000  0.0000
Se  0.5000  0.5000  0.0000

=====

# 6
# PmGa3Pt3

Crystalline PmGa3Pt3 at its relaxed geometry (PBE-GGA, the Alexandria database).

Output
Formation energy from the elements, kJ/mol of atoms: -42.68
Fermi-level density of states, states/eV/atom: 0.711
Energy relative to the lowest polymorph listed for this composition, meV/atom: 332
E, eV per cell: -70.1

Cell lengths 6.8375, 6.8375, 6.8375 Å; angles 90.00, 90.00, 90.00 degrees
Sites, in units of the cell vectors:
Pm  0.0000  0.0000  0.0000
Pm  0.5000  0.5000  0.5000
Ga  0.0000  0.2500  0.5000
Ga  0.0000  0.7500  0.5000
Ga  0.2500  0.5000  0.0000
Ga  0.5000  0.0000  0.2500
Ga  0.5000  0.0000  0.7500
Ga  0.7500  0.5000  0.0000
Pt  0.0000  0.5000  0.2500
Pt  0.0000  0.5000  0.7500
Pt  0.2500  0.0000  0.5000
Pt  0.5000  0.2500  0.0000
Pt  0.5000  0.7500  0.0000
Pt  0.7500  0.0000  0.5000

=====

# 7
# LaYOsO6

Crystalline LaYOsO6 at its relaxed geometry (PBE-GGA, the Alexandria database).

Output
Fermi-level density of states, states/eV/atom: 0.457
E, eV per cell: -146.6

Cell lengths 5.6953, 5.6953, 9.1974 Å; angles 90.00, 90.00, 120.00 degrees
Sites, in units of the cell vectors:
La  0.3333  0.6667  0.2500
La  0.6667  0.3333  0.7500
Y  0.0000  0.0000  0.0000
Y  0.0000  0.0000  0.5000
Os  0.3333  0.6667  0.7500
Os  0.6667  0.3333  0.2500
O  0.0613  0.3741  0.6307
O  0.0613  0.6872  0.8693
O  0.3128  0.3741  0.8693
O  0.3128  0.9387  0.6307
O  0.3741  0.0613  0.1307
O  0.3741  0.3128  0.3693
O  0.6259  0.6872  0.6307
O  0.6259  0.9387  0.8693
O  0.6872  0.0613  0.3693
O  0.6872  0.6259  0.1307
O  0.9387  0.3128  0.1307
O  0.9387  0.6259  0.3693

=====

# 8
# Ce2HgBr

Crystalline Ce2HgBr at its relaxed geometry (PBE-GGA, the Alexandria database).

Output
Fermi-level density of states, states/eV/atom: 2.840
Energy relative to the lowest polymorph listed for this composition, meV/atom: 36
E, eV per cell: -16.2

Cell lengths 9.7914, 9.7914, 9.7914 Å; angles 21.79, 21.79, 21.79 degrees
Sites, in units of the cell vectors:
Ce  0.0000  0.0000  0.0000
Ce  0.1707  0.1707  0.1707
Hg  0.4187  0.4187  0.4187
Br  0.5847  0.5847  0.5847

=====

# 9
# LiZnRu2

Crystalline LiZnRu2 at its relaxed geometry (PBE-GGA, the Alexandria database).

Output
Formation energy from the elements, kJ/mol of atoms: 21.95
Fermi-level density of states, states/eV/atom: 1.045
E, eV per cell: -20.8

Cell lengths 2.6136, 4.1399, 5.0857 Å; angles 90.00, 90.00, 90.00 degrees
Sites, in units of the cell vectors:
Li  0.0000  0.0000  0.0000
Zn  0.0000  0.0000  0.5000
Ru  0.5000  0.5000  0.2376
Ru  0.5000  0.5000  0.7624

=====

# 10
# Pm6Pr2SmHo

Crystalline Pm6Pr2SmHo at its relaxed geometry (PBE-GGA, the Alexandria database).

Output
Formation energy from the elements, kJ/mol of atoms: 10.98
Fermi-level density of states, states/eV/atom: 1.478
E, eV per cell: -92.4

Cell lengths 8.9539, 8.9539, 9.9076 Å; angles 94.50, 94.50, 118.04 degrees
Sites, in units of the cell vectors:
Pm  0.0169  0.5740  0.1888
Pm  0.1218  0.7466  0.5557
Pm  0.2534  0.8782  0.9443
Pm  0.2942  0.5037  0.3804
Pm  0.4260  0.9831  0.3112
Pm  0.4963  0.7058  0.1196
Pm  0.5037  0.2942  0.8804
Pm  0.5740  0.0169  0.6888
Pm  0.7058  0.4963  0.6196
Pm  0.7466  0.1218  0.0557
Pm  0.8782  0.2534  0.4443
Pm  0.9831  0.4260  0.8112
Pr  0.1950  0.2956  0.0420
Pr  0.2956  0.1950  0.5420
Pr  0.7044  0.8050  0.4580
Pr  0.8050  0.7044  0.9580
Sm  0.0177  0.9823  0.2500
Sm  0.9823  0.0177  0.7500
Ho  0.4076  0.5924  0.7500
Ho  0.5924  0.4076  0.2500

=====

# 11
# ScGaAs2Br

Crystalline ScGaAs2Br at its relaxed geometry (PBE-GGA, the Alexandria database).

Output
Fermi-level density of states, states/eV/atom: 0.848
Energy relative to the lowest polymorph listed for this composition, meV/atom: 0
E, eV per cell: -21.1

Cell lengths 5.1667, 5.1667, 5.3986 Å; angles 90.00, 90.00, 90.00 degrees
Sites, in units of the cell vectors:
Sc  0.0000  0.0000  0.0000
Ga  0.5000  0.5000  0.5000
As  0.0000  0.5000  0.0000
As  0.5000  0.0000  0.0000
Br  0.0000  0.0000  0.5000

=====

# 12
# NaTm2Tl

Crystalline NaTm2Tl at its relaxed geometry (PBE-GGA, the Alexandria database).

Output
Formation energy from the elements, kJ/mol of atoms: 11.12
Fermi-level density of states, states/eV/atom: 1.023
Energy relative to the lowest polymorph listed for this composition, meV/atom: 122
E, eV per cell: -12.2

Cell lengths 12.1131, 12.1131, 12.1131 Å; angles 16.57, 16.57, 16.57 degrees
Sites, in units of the cell vectors:
Na  0.0000  0.0000  0.0000
Tm  0.0959  0.0959  0.0959
Tm  0.9041  0.9041  0.9041
Tl  0.5000  0.5000  0.5000

=====

Copy entry 6 word for word.
# PmGa3Pt3

Crystalline PmGa3Pt3 at its relaxed geometry (PBE-GGA, the Alexandria database).

Output
Formation energy from the elements, kJ/mol of atoms: -42.68
Fermi-level density of states, states/eV/atom: 0.711
Energy relative to the lowest polymorph listed for this composition, meV/atom: 332
E, eV per cell: -70.1

Cell lengths 6.8375, 6.8375, 6.8375 Å; angles 90.00, 90.00, 90.00 degrees
Sites, in units of the cell vectors:
Pm  0.0000  0.0000  0.0000
Pm  0.5000  0.5000  0.5000
Ga  0.0000  0.2500  0.5000
Ga  0.0000  0.7500  0.5000
Ga  0.2500  0.5000  0.0000
Ga  0.5000  0.0000  0.2500
Ga  0.5000  0.0000  0.7500
Ga  0.7500  0.5000  0.0000
Pt  0.0000  0.5000  0.2500
Pt  0.0000  0.5000  0.7500
Pt  0.2500  0.0000  0.5000
Pt  0.5000  0.2500  0.0000
Pt  0.5000  0.7500  0.0000
Pt  0.7500  0.0000  0.5000